No. 1
A crystal of KCoP2 relaxed with PBEsol. Source: Alexandria, functional meta-GGA SCAN.

Structure (POSCAR):
```
KCoP2
1.0
3.226 0.000 0.000
0.000 3.456 0.000
0.000 0.000 6.532
K Co P
1 1 2
direct
0.000 0.000 0.000
0.500 0.000 0.530
0.000 0.500 0.576
0.500 0.500 0.324
```

Results
electronic total energy: -11.722 eV per atom
Fermi-level density of states: 0.378 states/eV per atom
space-group type: Pmm2, No. 25

No. 2
A crystal of BeSN2F relaxed with PBEsol. Source: Alexandria, functional meta-GGA SCAN.

Structure (POSCAR):
```
BeSN2F
1.0
3.264 0.000 0.000
0.000 3.264 0.000
0.000 0.000 4.686
Be S N F
1 1 2 1
direct
0.000 0.000 0.000
0.000 0.000 0.500
0.000 0.500 0.000
0.500 0.000 0.000
0.500 0.500 0.500
```

Results
electronic total energy: -6.005 eV per atom
Fermi-level density of states: 0.547 states/eV per atom
space-group type: P4/mmm, No. 123
energy relative to the elements, uncorrected: 1216.1 meV per atom

No. 3
A crystal of Cs2TeH2 relaxed with PBEsol. Source: Alexandria, functional meta-GGA SCAN.

Structure (POSCAR):
```
Cs2TeH2
1.0
8.553 0.000 0.000
0.000 8.553 0.000
0.000 0.000 3.650
Cs Te H
4 2 4
direct
0.152 0.348 0.000
0.348 0.848 0.000
0.652 0.152 0.000
0.848 0.652 0.000
0.000 0.000 0.500
0.500 0.500 0.500
0.154 0.654 0.500
0.346 0.154 0.500
0.654 0.846 0.500
0.846 0.346 0.500
```

Results
electronic total energy: -23.958 eV per atom
Fermi-level density of states: 0.372 states/eV per atom
space-group type: P4/mbm, No. 127

No. 4
A crystal of LiZr2Rh relaxed with PBEsol. Source: Alexandria, functional meta-GGA SCAN.

Structure (POSCAR):
```
LiZr2Rh
1.0
3.415 0.000 0.000
0.000 4.791 0.000
0.000 0.000 9.114
Li Zr Rh
2 4 2
direct
0.000 0.000 0.000
0.500 0.500 0.000
0.000 0.000 0.577
0.000 0.500 0.295
0.500 0.000 0.295
0.500 0.500 0.577
0.000 0.500 0.790
0.500 0.000 0.790
```

Results
electronic total energy: -24.481 eV per atom
Fermi-level density of states: 0.820 states/eV per atom
space-group type: Cmm2, No. 35

Q: What is the electronic total energy in the second record?
A: -6.005 eV per atom